(1)
# Th2Mg3Ag4

A geometry-optimized Th2Mg3Ag4 structure (PBE-GGA, Alexandria via LeMat-Bulk).

## Properties
- E (eV/cell) = -63.93
- Fermi-level density of states (states/eV/f.u.) = 6.19
- total moment (μB per formula unit) = 0.00
- formation enthalpy at 0 K (eV/atom) = -0.104

abc: 8.836 8.836 8.042
angles: 90.00 90.00 139.45
Element x y z (fractional)
Th 0.102 0.898 0.905
Th 0.398 0.602 0.405
Th 0.602 0.398 0.595
Th 0.898 0.102 0.095
Mg 0.000 0.000 0.500
Mg 0.020 0.480 0.750
Mg 0.480 0.020 0.250
Mg 0.500 0.500 0.000
Mg 0.520 0.980 0.750
Mg 0.980 0.520 0.250
Ag 0.173 0.827 0.523
Ag 0.188 0.312 0.750
Ag 0.312 0.188 0.250
Ag 0.327 0.673 0.023
Ag 0.673 0.327 0.977
Ag 0.688 0.812 0.750
Ag 0.812 0.688 0.250
Ag 0.827 0.173 0.477

(2)
# Th2MgAg

A geometry-optimized Th2MgAg structure (PBE-GGA, Alexandria via LeMat-Bulk).

## Properties
- E (eV/cell) = -18.18
- Fermi-level density of states (states/eV/f.u.) = 4.23
- energy above the lowest structure with this stoichiometry (meV per atom) = 237
- total moment (μB per formula unit) = 0.00
- formation enthalpy at 0 K (eV/atom) = 0.276

abc: 12.115 12.115 12.115
angles: 15.85 15.85 15.85
Element x y z (fractional)
Th 0.093 0.093 0.093
Th 0.907 0.907 0.907
Mg 0.000 0.000 0.000
Ag 0.500 0.500 0.500

(3)
# ThMgAg4

A geometry-optimized ThMgAg4 structure (PBE-GGA, Alexandria via LeMat-Bulk).

## Properties
- E (eV/cell) = -21.03
- Fermi-level density of states (states/eV/f.u.) = 3.38
- total moment (μB per formula unit) = 0.00
- formation enthalpy at 0 K (eV/atom) = -0.102

abc: 5.644 5.644 5.644
angles: 60.00 60.00 60.00
Element x y z (fractional)
Th 0.000 0.000 0.000
Mg 0.750 0.750 0.750
Ag 0.376 0.376 0.376
Ag 0.376 0.376 0.873
Ag 0.376 0.873 0.376
Ag 0.873 0.376 0.376